1.
BeTcPt4 meta-GGA SCAN PBEsol geometry; formation enthalpy at 0 K = 0.32 eV/atom; crystal system = cubic
1.0
-4.497 -0.113 2.470
-2.367 -4.479 0.818
-0.272 -1.929 4.747
Be Pt Tc
1 4 1
direct
0.000 0.000 0.000
0.375 0.375 0.375
0.375 0.375 0.875
0.875 0.375 0.375
0.375 0.875 0.375
0.750 0.750 0.750

***

2.
BeTePt2 meta-GGA SCAN PBEsol geometry; ΔE_f (raw) = -396 meV/atom; ΔE to the lowest computed polymorph = 0 meV/atom; crystal system = trigonal
1.0
-3.573 -0.323 -0.750
-1.102 -2.083 -2.807
-1.875 -5.241 2.232
Be Te Pt
1 1 2
direct
0.000 0.000 0.000
0.500 0.500 0.500
0.278 0.278 0.165
0.722 0.722 0.835

***

3.
BeTePt4 meta-GGA SCAN PBEsol geometry; ΔE_f (raw) = 272 meV/atom; crystal system = cubic
1.0
-1.517 4.415 2.378
-4.800 1.919 -0.854
-3.605 -0.176 3.798
Be Pt Te
1 4 1
direct
0.000 0.000 0.000
0.625 0.625 0.124
0.124 0.625 0.625
0.625 0.124 0.625
0.625 0.625 0.625
0.250 0.250 0.250